# 1
A relaxed structure of BaPmZnN2, computed with PBE-GGA.

- D(E_F): 0.47 states/eV/atom
- Size of the total moment: 0.0 μB/f.u.
- E_tot: -5.414 eV/atom

Cell lengths 5.953, 5.480, 6.993 Å; angles 90.00, 90.01, 90.00 degrees
Space group P2/c (No. 13)
One atom of each set of equivalent atoms:
Ba  0.000  0.001  0.250
Pm  0.500  0.500  0.250
Zn  0.500  0.000  0.000
N  0.307  0.270  0.000

---

# 2
A relaxed structure of BaPrN, computed with PBE-GGA.

- D(E_F): 0.75 states/eV/atom
- Size of the total moment: 0.0 μB/f.u.
- E_tot: -5.293 eV/atom

Cell lengths 14.309, 3.746, 6.493 Å; angles 90.00, 90.00, 90.00 degrees
Space group Amm2 (No. 38)
One atom of each set of equivalent atoms:
Ba  0.112  0.000  0.000
Pr  0.394  0.000  0.444
N  0.000  0.000  0.333
N  0.500  0.000  0.110

---

# 3
A relaxed structure of BaPrN, computed with PBE-GGA.

- D(E_F): 0.61 states/eV/atom
- Size of the total moment: 0.0 μB/f.u.
- E_tot: -5.628 eV/atom

Cell lengths 3.8513, 3.8513, 7.0232 Å; angles 90.00, 90.00, 120.00 degrees
Space group P3m1 (No. 156)
One atom of each set of equivalent atoms:
Ba  0.0000  0.0000  0.0000
Pr  0.3333  0.6667  0.4244
N  0.6667  0.3333  0.2893

---

# 4
A relaxed structure of Ba2PrN, computed with PBE-GGA.

- D(E_F): 0.75 states/eV/atom
- Size of the total moment: 0.0 μB/f.u.
- E_tot: -4.356 eV/atom

Cell lengths 3.8892, 3.8892, 33.0569 Å; angles 90.00, 90.00, 120.00 degrees
Space group R-3m (No. 166, hexagonal axes)
One atom of each set of equivalent atoms:
Ba  0.0000  0.0000  0.1197
Pr  0.0000  0.0000  0.0000
N  0.0000  0.0000  0.5000

---

# 5
A relaxed structure of BaPr2N, computed with PBE-GGA.

- D(E_F): 1.24 states/eV/atom
- Size of the total moment: 0.0 μB/f.u.
- E_tot: -5.457 eV/atom

Cell lengths 3.7299, 3.7299, 31.0352 Å; angles 90.00, 90.00, 120.00 degrees
Space group R-3m (No. 166, hexagonal axes)
One atom of each set of equivalent atoms:
Ba  0.0000  0.0000  0.0000
Pr  0.0000  0.0000  0.1224
N  0.0000  0.0000  0.5000

---

# 6
A relaxed structure of BaPr2PuN4, computed with PBE-GGA.

- D(E_F): 0.74 states/eV/atom
- Size of the total moment: 4.0 μB/f.u.
- E_tot: -8.341 eV/atom

Cell lengths 3.722, 13.727, 12.760 Å; angles 90.00, 90.00, 90.00 degrees
Space group Cmcm (No. 63)
One atom of each set of equivalent atoms:
Ba  0.000  0.028  0.250
Pr  0.000  0.372  0.033
Pu  0.000  0.228  0.750
N  0.000  0.000  0.000
N  0.000  0.241  0.598
N  0.000  0.375  0.250